# Ca2CdHg SCAN PBEsol geometry
# E_tot   -29.869 eV/atom
# ΔE to the lowest computed polymorph   4.46 kcal/mol of atoms
# Calculated formation energy   -0.392 eV per atom
data_Ca2CdHg
_cell_length_a 3.894
_cell_length_b 4.009
_cell_length_c 7.059
_cell_angle_alpha 90.00
_cell_angle_beta 90.00
_cell_angle_gamma 90.00
_space_group_name_H-M_alt 'P m m 2'
_space_group_IT_number 25
loop_
_space_group_symop_operation_xyz
'x,y,z'
'-x,-y,z'
'-x,y,z'
'x,-y,z'
loop_
_atom_site_label
_atom_site_type_symbol
_atom_site_fract_x
_atom_site_fract_y
_atom_site_fract_z
_atom_site_occupancy
Ca1 Ca 0.000 0.000 0.000 1
Ca2 Ca 0.500 0.500 0.354 1
Cd1 Cd 0.000 0.000 0.559 1
Hg1 Hg 0.500 0.500 0.802 1